No. 1
CaS2NCl after structural relaxation. Source: Alexandria, functional PBE-GGA.

Properties
- Total magnetic moment: 1.61 Bohr magnetons per cell
- Fermi-level density of states: 1.32 states/eV/f.u.
- Relative energy among the computed polymorphs: 0.6693 eV per atom
- Formation energy without anion corrections: 577 meV per atom

Cell: 4.9345 4.9345 3.8877 Å, 90.00 90.00 90.00°
Element x y z (fractional)
Ca1 0.0000 0.0000 0.0000
S1 0.0000 0.5000 0.5000
S2 0.5000 0.0000 0.5000
N1 0.5000 0.5000 0.0000
Cl1 0.5000 0.5000 0.5000


No. 2
BeAu2Se after structural relaxation. Source: Alexandria, functional PBE-GGA.

Properties
- Total magnetic moment: 0.00 Bohr magnetons per cell
- Fermi-level density of states: 2.59 states/eV/f.u.
- Relative energy among the computed polymorphs: 0.1605 eV per atom
- Formation energy without anion corrections: 123 meV per atom

Cell: 9.2134 9.2134 9.2134 Å, 18.45 18.45 18.45°
Element x y z (fractional)
Be1 0.0000 0.0000 0.0000
Au1 0.2699 0.2699 0.2699
Au2 0.7301 0.7301 0.7301
Se1 0.5000 0.5000 0.5000


No. 3
ZnSbOs after structural relaxation. Source: Alexandria, functional PBE-GGA.

Properties
- Total magnetic moment: 0.00 Bohr magnetons per cell
- Fermi-level density of states: 2.07 states/eV/f.u.
- Relative energy among the computed polymorphs: 0.0000 eV per atom
- Formation energy without anion corrections: 208 meV per atom

Cell: 5.2821 6.8397 6.8398 Å, 76.10 75.42 75.41°
Element x y z (fractional)
Zn1 0.1061 0.1426 0.3927
Zn2 0.1069 0.6419 0.8917
Zn3 0.8931 0.3581 0.1083
Zn4 0.8939 0.8574 0.6073
Sb1 0.2938 0.0873 0.8380
Sb2 0.2948 0.5877 0.3370
Sb3 0.7052 0.4123 0.6630
Sb4 0.7062 0.9127 0.1620
Os1 0.4256 0.3127 0.0633
Os2 0.4261 0.8129 0.5624
Os3 0.5739 0.1871 0.4376
Os4 0.5744 0.6873 0.9367


No. 4
Pr3Zn8In after structural relaxation. Source: Alexandria, functional PBE-GGA.

Properties
- Energy of formation: -252 meV per atom
- Total magnetic moment: 0.00 Bohr magnetons per cell
- Fermi-level density of states: 6.79 states/eV/f.u.

Cell: 9.5625 9.5625 9.5625 Å, 34.21 34.21 34.21°
Element x y z (fractional)
Pr1 0.0000 0.0000 0.0000
Pr2 0.1263 0.1263 0.1263
Pr3 0.6172 0.6172 0.6172
Zn1 0.0555 0.5626 0.5626
Zn2 0.0623 0.0623 0.5596
Zn3 0.0623 0.5596 0.0623
Zn4 0.3126 0.3126 0.3126
Zn5 0.5596 0.0623 0.0623
Zn6 0.5626 0.0555 0.5626
Zn7 0.5626 0.5626 0.0555
Zn8 0.8090 0.8090 0.8090
In1 0.4934 0.4934 0.4934


No. 5
Ba4HgW after structural relaxation. Source: Alexandria, functional PBE-GGA.

Properties
- Energy of formation: 1182 meV per atom
- Total magnetic moment: 3.41 Bohr magnetons per cell
- Fermi-level density of states: 7.96 states/eV/f.u.

Cell: 7.0926 7.0926 7.0926 Å, 60.00 60.00 60.00°
Element x y z (fractional)
Ba1 0.1253 0.1253 0.1253
Ba2 0.1253 0.1253 0.6240
Ba3 0.1253 0.6240 0.1253
Ba4 0.6240 0.1253 0.1253
Hg1 0.7500 0.7500 0.7500
W1 0.5000 0.5000 0.5000


No. 6
BaZn2OsSe after structural relaxation. Source: Alexandria, functional PBE-GGA.

Properties
- Total magnetic moment: 3.59 Bohr magnetons per cell
- Fermi-level density of states: 2.83 states/eV/f.u.
- Formation energy without anion corrections: 1787 meV per atom

Cell: 6.1974 6.1974 5.5740 Å, 90.00 90.00 90.00°
Element x y z (fractional)
Ba1 0.0000 0.0000 0.0000
Zn1 0.0000 0.5000 0.0000
Zn2 0.5000 0.0000 0.0000
Os1 0.0000 0.0000 0.5000
Se1 0.5000 0.5000 0.5000


No. 7
BaLiIn2Fe after structural relaxation. Source: Alexandria, functional PBE-GGA.

Properties
- Energy of formation: 482 meV per atom
- Total magnetic moment: 0.04 Bohr magnetons per cell
- Fermi-level density of states: 6.30 states/eV/f.u.

Cell: 5.0365 5.0365 4.9769 Å, 90.00 90.00 90.00°
Element x y z (fractional)
Ba1 0.0000 0.0000 0.0000
Li1 0.5000 0.5000 0.5000
In1 0.0000 0.5000 0.5000
In2 0.5000 0.0000 0.5000
Fe1 0.5000 0.5000 0.0000


No. 8
Sc6PtS4 after structural relaxation. Source: Alexandria, functional PBE-GGA.

Properties
- Total magnetic moment: 0.00 Bohr magnetons per cell
- Fermi-level density of states: 5.72 states/eV/f.u.
- Formation energy without anion corrections: -1632 meV per atom

Cell: 6.3337 6.3337 18.7808 Å, 90.00 90.00 146.67°
Element x y z (fractional)
Sc1 0.0000 0.0000 0.0000
Sc2 0.0000 0.0000 0.5000
Sc3 0.1698 0.8302 0.7500
Sc4 0.2729 0.7271 0.0894
Sc5 0.2729 0.7271 0.4106
Sc6 0.4448 0.5552 0.6651
Sc7 0.4448 0.5552 0.8349
Sc8 0.5552 0.4448 0.1651
Sc9 0.5552 0.4448 0.3349
Sc10 0.7271 0.2729 0.5894
Sc11 0.7271 0.2729 0.9106
Sc12 0.8302 0.1698 0.2500
Pt1 0.1653 0.8347 0.2500
Pt2 0.8347 0.1653 0.7500
S1 0.0867 0.9133 0.6245
S2 0.0867 0.9133 0.8755
S3 0.3596 0.6404 0.5392
S4 0.3596 0.6404 0.9608
S5 0.6404 0.3596 0.0392
S6 0.6404 0.3596 0.4608
S7 0.9133 0.0867 0.1245
S8 0.9133 0.0867 0.3755


No. 9
Ta2PtBr after structural relaxation. Source: Alexandria, functional PBE-GGA.

Properties
- Total magnetic moment: 0.00 Bohr magnetons per cell
- Fermi-level density of states: 1.64 states/eV/f.u.
- Relative energy among the computed polymorphs: 0.8341 eV per atom
- Formation energy without anion corrections: 751 meV per atom

Cell: 7.1276 7.1276 7.1276 Å, 131.21 131.21 71.48°
Element x y z (fractional)
Ta1 0.1053 0.6250 0.9803
Ta2 0.3750 0.3553 0.4803
Ta3 0.6447 0.1250 0.0197
Ta4 0.8750 0.8947 0.5197
Pt1 0.0000 0.0000 0.0000
Pt2 0.7500 0.2500 0.5000
Br1 0.2500 0.7500 0.5000
Br2 0.5000 0.5000 0.0000


No. 10
ReGeIr2Ru after structural relaxation. Source: Alexandria, functional PBE-GGA.

Properties
- Energy of formation: 1731 meV per atom
- Total magnetic moment: 2.64 Bohr magnetons per cell
- Fermi-level density of states: 7.62 states/eV/f.u.

Cell: 4.7378 4.7378 4.6786 Å, 90.00 90.00 90.00°
Element x y z (fractional)
Re1 0.0000 0.0000 0.0000
Ge1 0.0000 0.0000 0.5000
Ir1 0.0000 0.5000 0.0000
Ir2 0.5000 0.0000 0.0000
Ru1 0.5000 0.5000 0.5000


No. 11
CsZr3Ga after structural relaxation. Source: Alexandria, functional PBE-GGA.

Properties
- Energy of formation: 909 meV per atom
- Total magnetic moment: 0.00 Bohr magnetons per cell
- Fermi-level density of states: 12.58 states/eV/f.u.

Cell: 5.2836 5.2836 5.2836 Å, 90.00 90.00 90.00°
Element x y z (fractional)
Cs1 0.0000 0.0000 0.0000
Zr1 0.0000 0.5000 0.5000
Zr2 0.5000 0.0000 0.5000
Zr3 0.5000 0.5000 0.0000
Ga1 0.5000 0.5000 0.5000


No. 12
ErSi3RuRh after structural relaxation. Source: Alexandria, functional PBE-GGA.

Properties
- Total magnetic moment: 0.00 Bohr magnetons per cell
- Fermi-level density of states: 2.10 states/eV/f.u.
- Formation energy without anion corrections: -500 meV per atom

Cell: 7.5021 7.5021 5.4585 Å, 90.00 90.00 131.70°
Element x y z (fractional)
Er1 0.1817 0.8183 0.7500
Er2 0.8183 0.1817 0.2500
Si1 0.2293 0.7707 0.2500
Si2 0.2884 0.2884 0.0000
Si3 0.2884 0.2884 0.5000
Si4 0.7116 0.7116 0.0000
Si5 0.7116 0.7116 0.5000
Si6 0.7707 0.2293 0.7500
Ru1 0.0657 0.9343 0.2500
Ru2 0.9343 0.0657 0.7500
Rh1 0.3919 0.6081 0.2500
Rh2 0.6081 0.3919 0.7500


No. 13
Ho2ScPa2Co5 after structural relaxation. Source: Alexandria, functional PBE-GGA.

Properties
- Energy of formation: -135 meV per atom
- Total magnetic moment: 0.00 Bohr magnetons per cell
- Fermi-level density of states: 7.16 states/eV/f.u.

Cell: 10.3252 10.3252 3.3925 Å, 90.00 90.00 90.00°
Element x y z (fractional)
Ho1 0.1687 0.3313 0.0000
Ho2 0.3313 0.8313 0.0000
Ho3 0.6687 0.1687 0.0000
Ho4 0.8313 0.6687 0.0000
Sc1 0.0000 0.0000 0.0000
Sc2 0.5000 0.5000 0.0000
Pa1 0.1398 0.6398 0.0000
Pa2 0.3602 0.1398 0.0000
Pa3 0.6398 0.8602 0.0000
Pa4 0.8602 0.3602 0.0000
Co1 0.0000 0.5000 0.5000
Co2 0.0453 0.7912 0.5000
Co3 0.2088 0.0453 0.5000
Co4 0.2912 0.5453 0.5000
Co5 0.4547 0.2912 0.5000
Co6 0.5000 0.0000 0.5000
Co7 0.5453 0.7088 0.5000
Co8 0.7088 0.4547 0.5000
Co9 0.7912 0.9547 0.5000
Co10 0.9547 0.2088 0.5000


No. 14
Ca2LaCl after structural relaxation. Source: Alexandria, functional PBE-GGA.

Properties
- Total magnetic moment: 1.40 Bohr magnetons per cell
- Fermi-level density of states: 4.78 states/eV/f.u.
- Relative energy among the computed polymorphs: 0.7075 eV per atom
- Formation energy without anion corrections: -103 meV per atom

Cell: 5.8689 5.8689 5.8689 Å, 60.00 60.00 60.00°
Element x y z (fractional)
Ca1 0.0000 0.0000 0.0000
Ca2 0.2500 0.2500 0.2500
La1 0.7500 0.7500 0.7500
Cl1 0.5000 0.5000 0.5000


No. 15
HoZnRu2 after structural relaxation. Source: Alexandria, functional PBE-GGA.

Properties
- Energy of formation: -67 meV per atom
- Total magnetic moment: 0.94 Bohr magnetons per cell
- Fermi-level density of states: 5.48 states/eV/f.u.

Cell: 4.1467 4.1467 3.8585 Å, 90.00 90.00 90.00°
Element x y z (fractional)
Ho1 0.0000 0.0000 0.0000
Zn1 0.5000 0.5000 0.0000
Ru1 0.0000 0.5000 0.5000
Ru2 0.5000 0.0000 0.5000


No. 16
KAgSe2Br after structural relaxation. Source: Alexandria, functional PBE-GGA.

Properties
- Total magnetic moment: 0.64 Bohr magnetons per cell
- Fermi-level density of states: 7.53 states/eV/f.u.
- Relative energy among the computed polymorphs: 0.0000 eV per atom
- Formation energy without anion corrections: -255 meV per atom

Cell: 5.1170 5.1170 5.7337 Å, 90.00 90.00 90.00°
Element x y z (fractional)
K1 0.0000 0.0000 0.0000
Ag1 0.5000 0.5000 0.5000
Se1 0.0000 0.5000 0.5000
Se2 0.5000 0.0000 0.5000
Br1 0.5000 0.5000 0.0000


No. 17
TbYW after structural relaxation. Source: Alexandria, functional PBE-GGA.

Properties
- Energy of formation: 205 meV per atom
- Total magnetic moment: 0.00 Bohr magnetons per cell
- Fermi-level density of states: 4.00 states/eV/f.u.

Cell: 3.3465 3.3465 13.7839 Å, 90.00 90.00 90.00°
Element x y z (fractional)
Tb1 0.2500 0.2500 0.0943
Tb2 0.7500 0.7500 0.9057
Y1 0.2500 0.2500 0.6947
Y2 0.7500 0.7500 0.3053
W1 0.2500 0.2500 0.4528
W2 0.7500 0.7500 0.5472


No. 18
CsLi2UI8 after structural relaxation. Source: Alexandria, functional PBE-GGA.

Properties
- Total magnetic moment: 1.00 Bohr magnetons per cell
- Fermi-level density of states: 0.41 states/eV/f.u.
- Formation energy without anion corrections: -996 meV per atom

Cell: 7.5205 7.5404 10.9002 Å, 83.58 83.49 71.83°
Element x y z (fractional)
Cs1 0.0000 0.0000 0.0000
Li1 0.4994 0.4989 0.8489
Li2 0.5006 0.5011 0.1511
U1 0.0000 0.0000 0.5000
I1 0.2038 0.7282 0.6931
I2 0.2322 0.2344 0.5154
I3 0.2741 0.7985 0.3065
I4 0.3240 0.3257 0.0298
I5 0.6760 0.6743 0.9702
I6 0.7259 0.2015 0.6935
I7 0.7678 0.7656 0.4846
I8 0.7962 0.2718 0.3069


No. 19
SrSnO after structural relaxation. Source: Alexandria, functional PBE-GGA.

Properties
- Total magnetic moment: 0.00 Bohr magnetons per cell
- Fermi-level density of states: 4.01 states/eV/f.u.
- Relative energy among the computed polymorphs: 0.1062 eV per atom
- Formation energy without anion corrections: -1415 meV per atom

Cell: 4.2884 4.2884 9.0888 Å, 90.00 90.00 90.00°
Element x y z (fractional)
Sr1 0.2500 0.2500 0.1144
Sr2 0.7500 0.7500 0.8856
Sn1 0.2500 0.2500 0.5503
Sn2 0.7500 0.7500 0.4497
O1 0.2500 0.7500 0.0000
O2 0.7500 0.2500 0.0000


No. 20
Li5Te2I after structural relaxation. Source: Alexandria, functional PBE-GGA.

Properties
- Total magnetic moment: 0.00 Bohr magnetons per cell
- Fermi-level density of states: 0.00 states/eV/f.u.
- Formation energy without anion corrections: -1019 meV per atom

Cell: 11.4841 9.3281 7.9407 Å, 90.00 102.16 90.00°
Element x y z (fractional)
Li1 0.0712 0.1301 0.4419
Li2 0.0712 0.3699 0.9419
Li3 0.0904 0.6170 0.4376
Li4 0.0904 0.8830 0.9376
Li5 0.2534 0.6330 0.8180
Li6 0.2534 0.8670 0.3180
Li7 0.3973 0.1308 0.9016
Li8 0.3973 0.3692 0.4016
Li9 0.4280 0.6327 0.2122
Li10 0.4280 0.8673 0.7122
Li11 0.5720 0.1327 0.2878
Li12 0.5720 0.3673 0.7878
Li13 0.6027 0.6308 0.5984
Li14 0.6027 0.8692 0.0984
Li15 0.7466 0.1330 0.6820
Li16 0.7466 0.3670 0.1820
Li17 0.9096 0.1170 0.0624
Li18 0.9096 0.3830 0.5624
Li19 0.9288 0.6301 0.0581
Li20 0.9288 0.8699 0.5581
Te1 0.0098 0.6255 0.7511
Te2 0.0098 0.8745 0.2511
Te3 0.3507 0.6310 0.5228
Te4 0.3507 0.8690 0.0228
Te5 0.6493 0.1310 0.9772
Te6 0.6493 0.3690 0.4772
Te7 0.9902 0.1255 0.7489
Te8 0.9902 0.3745 0.2489
I1 0.3314 0.1166 0.5350
I2 0.3314 0.3834 0.0350
I3 0.6686 0.6166 0.9650
I4 0.6686 0.8834 0.4650


| no. | uncorrected energy (eV/atom) |
| --- | --- |
| 1 | -3.5089 |
| 2 | -3.3185 |
| 3 | -5.3340 |
| 4 | -2.5241 |
| 5 | -2.3094 |
| 6 | -2.0498 |
| 7 | -3.0730 |
| 8 | -7.1360 |
| 9 | -7.1035 |
| 10 | -7.0819 |
| 11 | -4.9960 |
| 12 | -6.7430 |
| 13 | -7.1361 |
| 14 | -2.7969 |
| 15 | -6.1674 |
| 16 | -2.7731 |
| 17 | -7.8112 |
| 18 | -3.3604 |
| 19 | -4.9631 |
| 20 | -3.1943 |